Compound: Be2ReCl
Source: Alexandria via LeMat-Bulk
Functional: PBE-GGA
Structure: optimized geometry

Values from the calculation:
Its space group is Pm (6). The uncorrected formation energy comes out at 111 kJ/mol of formula units. For the energy above the most stable polymorph in this dataset, the calculation gives 223.0 meV per atom. The value obtained for the total energy is -20.6 eV for the cell shown. Its total magnetization is 0.00 μB/f.u.

Lattice parameters (Å, degrees): 2.882 3.268 7.253 90.00 101.35 90.00
Fractional coordinates of all 4 atoms:
Be 0.000 0.000 0.000
Be 0.112 0.500 0.197
Re 0.455 0.500 0.908
Cl 0.194 0.000 0.374